1.
# AlZnPt2

Crystalline AlZnPt2 at its relaxed geometry (GGA-PBEsol, Alexandria via LeMat-Bulk).

Unit cell a=3.670 b=3.681 c=8.440 alpha=90.00 beta=90.00 gamma=90.00
Element x y z (fractional)
Al: 0.000 0.000 0.000
Al: 0.500 0.500 0.500
Zn: 0.000 0.500 0.250
Zn: 0.500 0.000 0.750
Pt: 0.000 0.000 0.500
Pt: 0.000 0.500 0.749
Pt: 0.500 0.000 0.249
Pt: 0.500 0.500 0.000

SG: Imm2, No. 44
ΔH_f (0 K), eV per atom: -0.68

=====

2.
# RbScMnAl2

Crystalline RbScMnAl2 at its relaxed geometry (GGA-PBEsol, Alexandria via LeMat-Bulk).

Unit cell a=4.810 b=4.810 c=5.274 alpha=90.00 beta=90.00 gamma=90.00
Element x y z (fractional)
Rb: 0.000 0.000 0.000
Sc: 0.500 0.500 0.000
Mn: 0.000 0.000 0.500
Al: 0.000 0.500 0.500
Al: 0.500 0.000 0.500

SG: P4/mmm, No. 123
ΔH_f (0 K), eV per atom: 0.87

=====

3.
# FeCuRh

Crystalline FeCuRh at its relaxed geometry (GGA-PBEsol, Alexandria via LeMat-Bulk).

Unit cell a=2.653 b=3.554 c=7.776 alpha=90.00 beta=90.00 gamma=90.00
Element x y z (fractional)
Fe: 0.000 0.000 0.000
Fe: 0.500 0.500 0.500
Cu: 0.000 0.000 0.665
Cu: 0.500 0.500 0.165
Rh: 0.000 0.000 0.334
Rh: 0.500 0.500 0.834

SG: Imm2, No. 44
ΔH_f (0 K), eV per atom: 0.06

=====

Let's list Fermi-level density of states in order: 2.96, 4.39, 5.88 states/eV per cell.